No. 1
A plane-wave DFT calculation with PBE was carried out for an optimized crystal structure of NaAcAlZn.

Results
ΔE_f ... 9.6 meV per atom
Spin magnetization ... 0.0 μB/cell
Space-group type ... F-43m, No. 216

a b c (Å): 5.215 5.215 5.215
angles (deg): 60.00 60.00 60.00
Atoms (fractional coordinates):
Na (0.500, 0.500, 0.500)
Ac (0.750, 0.750, 0.750)
Zn (0.000, 0.000, 0.000)
Al (0.250, 0.250, 0.250)

No. 2
A plane-wave DFT calculation with PBE was carried out for an optimized crystal structure of ZrRuAu3.

Results
ΔE_f ... 1000.2 meV per atom
Spin magnetization ... 0.0 μB/cell
E above lowest polymorph ... 0 meV/atom
Space-group type ... Pm-3m, No. 221

a b c (Å): 4.917 4.917 4.917
angles (deg): 90.00 90.00 90.00
Atoms (fractional coordinates):
Ru (0.000, 0.000, 0.000)
Au (0.000, 0.500, 0.000)
Au (0.000, 0.000, 0.500)
Au (0.500, 0.000, 0.000)
Zr (0.500, 0.500, 0.500)

No. 3
A plane-wave DFT calculation with PBE was carried out for an optimized crystal structure of Y2HgPt.

Results
ΔE_f ... -773.0 meV per atom
Spin magnetization ... 0.0 μB/cell
Space-group type ... Cm, No. 8

a b c (Å): 4.100 4.100 7.813
angles (deg): 74.87 74.87 60.07
Atoms (fractional coordinates):
Y (0.069, 0.069, 0.791)
Y (0.264, 0.264, 0.208)
Hg (0.501, 0.501, 0.498)
Pt (0.666, 0.666, 0.003)

No. 4
A plane-wave DFT calculation with PBE was carried out for an optimized crystal structure of Ag2GeAsS4.

Results
Spin magnetization ... 0.0 μB/cell
Raw formation energy ... -59 meV per atom
Space-group type ... P1, No. 1

a b c (Å): 5.485 5.748 6.762
angles (deg): 110.30 106.22 94.30
Atoms (fractional coordinates):
Ag (0.466, 0.975, 0.929)
Ag (0.199, 0.224, 0.450)
Ge (0.751, 0.731, 0.486)
As (0.052, 0.552, 0.013)
S (0.591, 0.576, 0.693)
S (0.861, 0.387, 0.214)
S (0.416, 0.858, 0.267)
S (0.051, 0.083, 0.722)

No. 5
A plane-wave DFT calculation with PBE was carried out for an optimized crystal structure of CaGa2Cu.

Results
ΔE_f ... -163.7 meV per atom
Spin magnetization ... 0.0 μB/cell
Space-group type ... Fm-3m, No. 225

a b c (Å): 4.703 4.703 4.703
angles (deg): 60.00 60.00 60.00
Atoms (fractional coordinates):
Ca (0.000, 0.000, 0.000)
Cu (0.500, 0.500, 0.500)
Ga (0.250, 0.250, 0.250)
Ga (0.750, 0.750, 0.750)

No. 6
A plane-wave DFT calculation with PBE was carried out for an optimized crystal structure of PuMgInGe.

Results
ΔE_f ... -251.3 meV per atom
Spin magnetization ... 5.5 μB/cell
E above lowest polymorph ... 0 meV/atom
Space-group type ... Pmmm, No. 47

a b c (Å): 4.263 4.408 4.833
angles (deg): 90.00 90.00 90.00
Each line ends with the local moment (μB).
Atoms (fractional coordinates):
Pu (0.000, 0.500, 0.500)  -5.22
Mg (0.000, 0.000, 0.000)  -0.01
In (0.500, 0.500, 0.000)  -0.01
Ge (0.500, 0.000, 0.500)  0.05

No. 7
A plane-wave DFT calculation with PBE was carried out for an optimized crystal structure of FeTcRu2.

Results
ΔE_f ... 107.5 meV per atom
Spin magnetization ... 1.1 μB/cell
E above lowest polymorph ... 13 meV/atom
Space-group type ... I-4m2, No. 119

a b c (Å): 4.638 4.638 4.638
angles (deg): 132.15 132.15 69.99
Each line ends with the local moment (μB).
Atoms (fractional coordinates):
Fe (0.750, 0.250, 0.500)  1.61
Ru (0.000, 0.000, 0.000)  -0.15
Ru (0.250, 0.750, 0.500)  -0.11
Tc (0.500, 0.500, 0.000)  -0.27

No. 8
A plane-wave DFT calculation with PBE was carried out for an optimized crystal structure of Mg2SnO4.

Results
Spin magnetization ... 0.0 μB/cell
Raw formation energy ... -2235 meV per atom
E above lowest polymorph ... 49 meV/atom
Space-group type ... Pbam, No. 55

a b c (Å): 3.111 5.214 9.945
angles (deg): 90.00 90.00 90.00
Atoms (fractional coordinates):
Mg (0.500, 0.020, 0.288)
Mg (0.500, 0.480, 0.788)
Mg (0.500, 0.520, 0.212)
Mg (0.500, 0.980, 0.712)
Sn (0.000, 0.000, 0.000)
Sn (0.000, 0.500, 0.500)
O (0.000, 0.221, 0.824)
O (0.500, 0.209, 0.089)
O (0.500, 0.291, 0.589)
O (0.000, 0.279, 0.324)
O (0.000, 0.721, 0.676)
O (0.500, 0.709, 0.411)
O (0.500, 0.791, 0.911)
O (0.000, 0.779, 0.176)

No. 9
A plane-wave DFT calculation with PBE was carried out for an optimized crystal structure of Li4Rh.

Results
ΔE_f ... 84.3 meV per atom
Spin magnetization ... 0.0 μB/cell
E above lowest polymorph ... 152 meV/atom
Space-group type ... P4/nbm, No. 125

a b c (Å): 4.226 6.148 6.148
angles (deg): 90.00 90.00 90.00
Atoms (fractional coordinates):
Li (0.253, 0.665, 0.835)
Li (0.253, 0.835, 0.335)
Li (0.747, 0.165, 0.335)
Li (0.747, 0.835, 0.665)
Li (0.747, 0.665, 0.165)
Li (0.747, 0.335, 0.835)
Li (0.253, 0.335, 0.165)
Li (0.253, 0.165, 0.665)
Rh (0.000, 0.500, 0.500)
Rh (0.000, 0.000, 0.000)

No. 10
A plane-wave DFT calculation with PBE was carried out for an optimized crystal structure of Ni3Pb.

Results
ΔE_f ... 282.3 meV per atom
Spin magnetization ... 1.0 μB/cell
Space-group type ... P4/mmm, No. 123

a b c (Å): 3.212 3.212 5.578
angles (deg): 90.00 90.00 89.98
Each line ends with the local moment (μB).
Atoms (fractional coordinates):
Ni (0.000, 0.000, 0.962)  0.33
Ni (0.500, 0.500, 0.750)  0.41
Ni (0.000, 0.000, 0.538)  0.33
Pb (0.500, 0.500, 0.250)  0.01

No. 11
A plane-wave DFT calculation with PBE was carried out for an optimized crystal structure of La3CBr3.

Results
Spin magnetization ... 2.6 μB/cell
Raw formation energy ... -1134 meV per atom
E above lowest polymorph ... 190 meV/atom
Space-group type ... C2/m, No. 12

a b c (Å): 6.933 6.933 9.690
angles (deg): 94.38 94.38 113.83
Each line ends with the local moment (μB).
Atoms (fractional coordinates):
La (0.813, 0.813, 0.098)  0.17
La (0.929, 0.593, 0.743)  0.16
La (0.593, 0.929, 0.743)  0.16
La (0.071, 0.407, 0.257)  0.16
La (0.407, 0.071, 0.257)  0.16
La (0.187, 0.187, 0.902)  0.17
C (0.867, 0.867, 0.853)  -0.01
C (0.133, 0.133, 0.147)  -0.01
Br (0.570, 0.570, 0.338)  0.01
Br (0.188, 0.812, 0.500)  0.01
Br (0.812, 0.188, 0.500)  0.01
Br (0.305, 0.695, 0.000)  0.01
Br (0.695, 0.305, 0.000)  0.01
Br (0.430, 0.430, 0.662)  0.01

No. 12
A plane-wave DFT calculation with PBE was carried out for an optimized crystal structure of Pr4AgRh.

Results
ΔE_f ... -288.0 meV per atom
Spin magnetization ... 0.0 μB/cell
E above lowest polymorph ... 72 meV/atom
Space-group type ... C2/c, No. 15

a b c (Å): 6.249 8.349 8.314
angles (deg): 113.53 103.79 105.89
Atoms (fractional coordinates):
Pr (0.037, 0.211, 0.859)
Pr (0.777, 0.698, 0.628)
Pr (0.321, 0.648, 0.859)
Pr (0.351, 0.930, 0.628)
Pr (0.649, 0.070, 0.372)
Pr (0.679, 0.352, 0.141)
Pr (0.223, 0.302, 0.372)
Pr (0.963, 0.789, 0.141)
Ag (0.371, 0.621, 0.241)
Ag (0.629, 0.379, 0.759)
Rh (0.247, 0.997, 0.994)
Rh (0.753, 0.003, 0.006)

No. 13
A plane-wave DFT calculation with PBE was carried out for an optimized crystal structure of BaPaPtS4.

Results
Spin magnetization ... 0.0 μB/cell
Raw formation energy ... -1350 meV per atom
Space-group type ... P2_1/m, No. 11

a b c (Å): 6.532 6.082 8.647
angles (deg): 90.00 107.24 90.00
Atoms (fractional coordinates):
Ba (0.754, 0.750, 0.949)
Ba (0.246, 0.250, 0.051)
Pa (0.749, 0.750, 0.446)
Pa (0.251, 0.250, 0.554)
Pt (0.228, 0.750, 0.349)
Pt (0.772, 0.250, 0.651)
S (0.037, 0.523, 0.714)
S (0.963, 0.023, 0.286)
S (0.963, 0.477, 0.286)
S (0.037, 0.977, 0.714)
S (0.441, 0.750, 0.157)
S (0.559, 0.250, 0.843)
S (0.462, 0.750, 0.608)
S (0.538, 0.250, 0.392)

No. 14
A plane-wave DFT calculation with PBE was carried out for an optimized crystal structure of AlCu2Mo.

Results
ΔE_f ... -16.5 meV per atom
Spin magnetization ... 0.0 μB/cell
Space-group type ... P4/mmm, No. 123

a b c (Å): 2.780 2.780 6.962
angles (deg): 90.00 90.00 90.00
Atoms (fractional coordinates):
Mo (0.500, 0.500, 0.250)
Al (0.500, 0.500, 0.750)
Cu (0.000, 0.000, 0.980)
Cu (0.000, 0.000, 0.520)

No. 15
A plane-wave DFT calculation with PBE was carried out for an optimized crystal structure of LaNd2FeN4.

Results
Spin magnetization ... 0.0 μB/cell
Raw formation energy ... -941 meV per atom
Space-group type ... Cmcm, No. 63

a b c (Å): 3.507 6.235 12.076
angles (deg): 90.00 90.00 106.33
Atoms (fractional coordinates):
La (0.120, 0.241, 0.750)
La (0.880, 0.759, 0.250)
Nd (0.368, 0.735, 0.544)
Nd (0.632, 0.265, 0.044)
Nd (0.632, 0.265, 0.456)
Nd (0.368, 0.735, 0.956)
Fe (0.837, 0.673, 0.750)
Fe (0.163, 0.327, 0.250)
N (0.271, 0.542, 0.135)
N (0.729, 0.458, 0.635)
N (0.729, 0.458, 0.865)
N (0.271, 0.542, 0.365)
N (0.000, 0.000, 0.500)
N (0.000, 0.000, 0.000)
N (0.395, 0.791, 0.750)
N (0.605, 0.209, 0.250)

No. 16
A plane-wave DFT calculation with PBE was carried out for an optimized crystal structure of Sm4S5Cl.

Results
Spin magnetization ... 2.0 μB/cell
Raw formation energy ... -1866 meV per atom
Space-group type ... Pmmn, No. 59

a b c (Å): 6.843 8.636 9.537
angles (deg): 90.00 90.00 90.00
Each line ends with the local moment (μB).
Atoms (fractional coordinates):
Sm (0.983, 0.000, 0.737)  0.04
Sm (0.534, 0.725, 0.000)  0.17
Sm (0.534, 0.275, 0.000)  0.17
Sm (0.983, 0.000, 0.263)  0.04
Sm (0.017, 0.500, 0.237)  0.04
Sm (0.466, 0.775, 0.500)  0.17
Sm (0.466, 0.225, 0.500)  0.17
Sm (0.017, 0.500, 0.763)  0.04
S (0.255, 0.761, 0.797)  0.00
S (0.255, 0.239, 0.797)  0.00
S (0.810, 0.500, 0.000)  0.00
S (0.255, 0.761, 0.203)  0.00
S (0.255, 0.239, 0.203)  0.00
S (0.745, 0.739, 0.297)  0.00
S (0.745, 0.261, 0.297)  0.00
S (0.190, 0.000, 0.500)  0.00
S (0.745, 0.261, 0.703)  0.00
S (0.745, 0.739, 0.703)  0.00
Cl (0.774, 0.000, 0.000)  0.01
Cl (0.226, 0.500, 0.500)  0.01

No. 17
A plane-wave DFT calculation with PBE was carried out for an optimized crystal structure of TiSnF2.

Results
Spin magnetization ... 0.0 μB/cell
Raw formation energy ... -1839 meV per atom
E above lowest polymorph ... 0 meV/atom
Space-group type ... R-3m, No. 166

a b c (Å): 10.194 10.194 10.194
angles (deg): 16.76 16.76 16.76
Atoms (fractional coordinates):
F (0.877, 0.877, 0.877)
F (0.123, 0.123, 0.123)
Sn (0.000, 0.000, 0.000)
Ti (0.500, 0.500, 0.500)

No. 18
A plane-wave DFT calculation with PBE was carried out for an optimized crystal structure of Lu2ZrCd.

Results
ΔE_f ... -32.7 meV per atom
Spin magnetization ... 0.0 μB/cell
E above lowest polymorph ... 122 meV/atom
Space-group type ... P4/mmm, No. 123

a b c (Å): 4.553 4.680 4.680
angles (deg): 90.00 90.00 90.00
Atoms (fractional coordinates):
Lu (0.000, 0.000, 0.500)
Lu (0.000, 0.500, 0.000)
Zr (0.500, 0.500, 0.500)
Cd (0.500, 0.000, 0.000)

No. 19
A plane-wave DFT calculation with PBE was carried out for an optimized crystal structure of BaMg2Ni.

Results
ΔE_f ... -5.6 meV per atom
Spin magnetization ... 0.0 μB/cell
Space-group type ... Cm, No. 8

a b c (Å): 4.727 4.727 6.481
angles (deg): 68.04 68.04 59.45
Atoms (fractional coordinates):
Ba (0.757, 0.757, 0.745)
Mg (0.947, 0.947, 0.159)
Mg (0.229, 0.229, 0.308)
Ni (0.568, 0.568, 0.288)

No. 20
A plane-wave DFT calculation with PBE was carried out for an optimized crystal structure of PdRhPb.

Results
ΔE_f ... 178.7 meV per atom
Spin magnetization ... 0.0 μB/cell
E above lowest polymorph ... 167 meV/atom
Space-group type ... I4/mmm, No. 139

a b c (Å): 3.328 3.328 10.734
angles (deg): 98.92 98.92 90.00
Atoms (fractional coordinates):
Rh (0.290, 0.290, 0.580)
Rh (0.710, 0.710, 0.420)
Pb (0.138, 0.138, 0.276)
Pb (0.862, 0.862, 0.724)
Pd (0.563, 0.563, 0.126)
Pd (0.437, 0.437, 0.874)